Record 1
The following is a DFT calculation (PBE) of a relaxed structure of CrCuTc2.

Results
The volume is 52.7 Å³/cell. For the formation energy from the elements, the calculation gives 0.195 eV/atom. Its density of states at the Fermi level is 3.4 states/eV/f.u. As for the total magnetization: 0.01 μB per formula unit. Its crystal system is tetragonal. The uncorrected energy is -33.7 eV for the cell shown. The energy above the most stable polymorph in this dataset comes out at 0.00 eV/f.u.

The structure in POSCAR format:
```
CrCuTc2
1.0
-1.043 3.628 -0.286
-1.794 -0.771 -3.243
-3.078 -0.736 1.877
Tc Cu Cr
2 1 1
Cartesian
-1.418 1.428 -1.765
0.000 0.000 0.000
-2.436 -0.754 -0.683
-2.060 1.446 0.796
```

Record 2
The following is a DFT calculation (PBE) of a relaxed structure of LaMgSb.

Results
The volume is 96.3 Å³/cell. Its density of states at the Fermi level is 2.5 states/eV/f.u. As for the total magnetization: 0.00 μB per formula unit. Its crystal system is cubic. The uncorrected energy is -11.9 eV for the cell shown. The energy above the most stable polymorph in this dataset comes out at 0.89 eV/f.u.

The structure in POSCAR format:
```
LaMgSb
1.0
-1.636 3.909 2.918
-1.960 -0.919 4.667
2.635 1.347 4.208
Mg Sb La
1 1 1
Cartesian
-0.480 2.169 5.896
-0.720 3.253 8.844
0.000 0.000 0.000
```

Record 3
The following is a DFT calculation (PBE) of a relaxed structure of Sc4GeAsC.

Results
The volume is 133.3 Å³/cell. For the formation energy from the elements, the calculation gives -0.871 eV/atom. Its density of states at the Fermi level is 4.2 states/eV/f.u. As for the total magnetization: 0.00 μB per formula unit. Its crystal system is tetragonal. The uncorrected energy is -49.9 eV for the cell shown.

The structure in POSCAR format:
```
Sc4GeAsC
1.0
-3.468 0.974 -2.437
-1.472 -4.065 0.470
-1.051 3.489 6.770
As Sc Ge C
1 4 1 1
Cartesian
-3.462 -0.998 0.646
-1.146 0.633 1.883
-4.842 -0.236 2.914
-4.249 -0.094 6.008
-5.247 2.426 4.554
-2.534 1.399 4.164
-0.015 0.008 0.025
```

Record 4
The following is a DFT calculation (PBE) of a relaxed structure of Sm8Tm6Pu.

Results
The volume is 500.9 Å³/cell. For the formation energy from the elements, the calculation gives 0.271 eV/atom. Its density of states at the Fermi level is 27.5 states/eV/f.u. As for the total magnetization: 6.36 μB per formula unit. Its crystal system is trigonal. The uncorrected energy is -74.9 eV for the cell shown.

The structure in POSCAR format:
```
Sm8Tm6Pu
1.0
-9.167 8.404 1.612
-2.739 -12.220 -0.647
0.385 -0.279 3.647
Tm Pu Sm
6 1 8
Cartesian
-8.933 2.797 3.018
-4.510 -2.946 2.099
-7.011 -1.150 2.513
-2.588 -6.893 1.594
-6.971 -6.615 2.078
-4.549 2.519 2.534
0.193 -0.140 1.824
-7.316 5.303 1.179
-10.140 -0.637 1.022
-4.497 -5.624 3.746
-7.024 1.529 0.866
-3.617 -0.078 0.376
-7.904 -4.017 4.236
-1.381 -3.459 3.590
-4.205 -9.398 3.433
```

Record 5
The following is a DFT calculation (PBE) of a relaxed structure of LiGa4Pd2.

Results
The volume is 226.1 Å³/cell. For the formation energy from the elements, the calculation gives -0.398 eV/atom. Its density of states at the Fermi level is 2.4 states/eV/f.u. As for the total magnetization: 0.00 μB per formula unit. Its crystal system is monoclinic. The uncorrected energy is -54.4 eV for the cell shown. The energy above the most stable polymorph in this dataset comes out at 0.20 eV/f.u.

The structure in POSCAR format:
```
LiGa4Pd2
1.0
6.703 0.000 -0.095
0.000 5.265 0.000
-2.551 0.000 6.442
Pd Ga Li
4 8 2
Cartesian
2.798 3.949 3.652
5.160 3.949 0.134
-1.008 1.316 6.213
1.354 1.316 2.695
3.287 2.594 1.437
5.946 1.316 0.903
3.287 0.038 1.437
-1.191 1.316 3.598
5.343 3.949 2.749
0.865 2.671 4.911
0.865 5.227 4.911
-1.795 3.949 5.444
3.248 1.316 4.652
0.904 3.949 1.695
```

Record 6
The following is a DFT calculation (PBE) of a relaxed structure of Th6TeIr3S2.

Results
The volume is 325.5 Å³/cell. Its density of states at the Fermi level is 11.0 states/eV/f.u. As for the total magnetization: 0.00 μB per formula unit. Its crystal system is monoclinic. The uncorrected energy is -97.6 eV for the cell shown.

The structure in POSCAR format:
```
Th6TeIr3S2
1.0
4.144 0.000 0.000
0.000 8.758 -0.012
-2.072 -2.861 8.974
Th Ir Te S
6 3 1 2
Cartesian
0.000 6.301 0.094
2.072 -0.405 8.867
2.072 -0.408 3.200
2.072 4.255 2.911
0.000 6.305 5.762
0.000 1.642 6.051
2.072 4.379 -0.006
0.000 6.304 2.973
2.072 -0.407 5.989
2.072 0.000 0.000
2.072 3.936 5.955
0.000 1.961 3.007
```